A plane-wave DFT calculation with PBE was carried out for crystalline La3HoTh3Se8 at its relaxed geometry.

## Properties
Spin magnetization, μB/f.u.: 0.000
Formation energy without anion corrections, kJ/mol of formula units: -2605

abc: 8.4090 8.4090 21.0056
angles: 90.00 90.00 120.00
Space group R-3m (No. 166, hexagonal axes)
Asymmetric unit:
La 0.0000 0.5000 0.0000
Ho 0.0000 0.0000 0.5000
Th 0.0000 0.5000 0.5000
Se 0.0000 0.0000 0.2487
Se 0.0033 0.5017 0.2470